(1)
Density functional theory data (PBE) for a geometry-optimized Zr2AsPt structure.

Output
Calculated volume: 75.33 Å³/cell
Energy: -31.2 eV per formula unit
ΔH_f (0 K): -82.4 kJ per mole of atoms

```
Zr2AsPt
1.0
2.947 -3.699 0.000
2.947 3.699 0.000
-0.010 0.000 3.456
Zr As Pt
2 1 1
direct
0.000 0.500 0.000
0.500 0.000 0.000
0.000 0.000 0.500
0.500 0.500 0.500
```

(2)
Density functional theory data (PBE) for a geometry-optimized ZrAsPt structure.

Output
Calculated volume: 64.71 Å³/cell
Energy: -21.0 eV per formula unit
ΔH_f (0 K): -56.0 kJ per mole of atoms

```
ZrAsPt
1.0
0.000 3.186 3.186
3.186 0.000 3.186
3.186 3.186 0.000
Zr As Pt
1 1 1
direct
0.000 0.000 0.000
0.250 0.250 0.250
0.750 0.750 0.750
```

(3)
Density functional theory data (PBE) for a geometry-optimized Zr2AsPt structure.

Output
Calculated volume: 80.03 Å³/cell
Energy: -31.1 eV per formula unit
ΔH_f (0 K): -80.0 kJ per mole of atoms

```
Zr2AsPt
1.0
3.743 0.000 0.000
0.000 3.743 0.000
0.000 0.000 5.711
Zr As Pt
2 1 1
direct
0.000 0.000 0.000
0.500 0.500 0.349
0.000 0.000 0.496
0.500 0.500 0.835
```

(4)
Density functional theory data (PBE) for a geometry-optimized ZrAsPt3 structure.

Output
Calculated volume: 101.43 Å³/cell
Relative energy among the computed polymorphs: 0.000 eV/atom
Energy: -31.0 eV per formula unit
ΔH_f (0 K): 6.6 kJ per mole of atoms

```
ZrAsPt3
1.0
4.664 0.000 0.000
0.000 4.664 0.000
0.000 0.000 4.664
Zr As Pt
1 1 3
direct
0.000 0.000 0.000
0.500 0.500 0.500
0.000 0.500 0.500
0.500 0.000 0.500
0.500 0.500 0.000
```

(5)
Density functional theory data (PBE) for a geometry-optimized ZrAsPt structure.

Output
Calculated volume: 121.11 Å³/cell
Energy: -21.1 eV per formula unit
ΔH_f (0 K): -58.3 kJ per mole of atoms

```
ZrAsPt
1.0
2.314 1.336 6.528
-2.314 1.336 6.528
0.000 -2.672 6.528
Zr As Pt
2 2 2
direct
0.080 0.080 0.080
0.920 0.920 0.920
0.223 0.223 0.223
0.777 0.777 0.777
0.353 0.353 0.353
0.647 0.647 0.647
```

(6)
Density functional theory data (PBE) for a geometry-optimized ZrAsPt3 structure.

Output
Calculated volume: 121.46 Å³/cell
Relative energy among the computed polymorphs: 0.830 eV/atom
Energy: -26.8 eV per formula unit
ΔH_f (0 K): 86.7 kJ per mole of atoms

```
ZrAsPt3
1.0
4.952 0.000 0.000
0.000 4.952 0.000
0.000 0.000 4.952
Zr As Pt
1 1 3
direct
0.000 0.000 0.000
0.500 0.500 0.500
0.000 0.000 0.500
0.000 0.500 0.000
0.500 0.000 0.000
```

(7)
Density functional theory data (PBE) for a geometry-optimized ZrAsPt structure.

Output
Calculated volume: 62.12 Å³/cell
Energy: -21.4 eV per formula unit
ΔH_f (0 K): -70.5 kJ per mole of atoms

```
ZrAsPt
1.0
0.000 3.143 3.143
3.143 0.000 3.143
3.143 3.143 0.000
Zr As Pt
1 1 1
direct
0.000 0.000 0.000
0.500 0.500 0.500
0.750 0.750 0.750
```

(8)
Density functional theory data (PBE) for a geometry-optimized Zr2AsPt structure.

Output
Calculated volume: 76.07 Å³/cell
Energy: -31.0 eV per formula unit
ΔH_f (0 K): -78.1 kJ per mole of atoms

```
Zr2AsPt
1.0
-1.865 2.076 4.912
1.865 -2.076 4.912
1.865 2.076 -4.912
Zr As Pt
2 1 1
direct
0.000 0.000 0.000
0.738 0.238 0.500
0.273 0.773 0.500
0.490 0.490 0.000
```

(9)
Density functional theory data (PBE) for a geometry-optimized Zr3AsPt structure.

Output
Calculated volume: 118.63 Å³/cell
Relative energy among the computed polymorphs: 0.000 eV/atom
Energy: -36.3 eV per formula unit
ΔH_f (0 K): -0.2 kJ per mole of atoms

```
Zr3AsPt
1.0
4.914 0.000 0.000
0.000 4.914 0.000
0.000 0.000 4.914
Zr As Pt
3 1 1
direct
0.000 0.000 0.500
0.000 0.500 0.000
0.500 0.000 0.000
0.000 0.000 0.000
0.500 0.500 0.500
```

(10)
Density functional theory data (PBE) for a geometry-optimized ZrAsPt structure.

Output
Calculated volume: 55.72 Å³/cell
Energy: -20.2 eV per formula unit
ΔH_f (0 K): -32.3 kJ per mole of atoms

```
ZrAsPt
1.0
3.056 0.000 0.000
-1.528 2.646 0.000
0.000 0.000 6.890
Zr As Pt
1 1 1
direct
0.000 0.000 0.000
0.667 0.333 0.336
0.333 0.667 0.680
```

(11)
Density functional theory data (PBE) for a geometry-optimized ZrAs3Pt structure.

Output
Calculated volume: 114.90 Å³/cell
Relative energy among the computed polymorphs: 0.000 eV/atom
Energy: -26.6 eV per formula unit
ΔH_f (0 K): 37.4 kJ per mole of atoms

```
ZrAs3Pt
1.0
4.862 0.000 0.000
0.000 4.862 0.000
0.000 0.000 4.862
Zr As Pt
1 3 1
direct
0.000 0.000 0.000
0.000 0.500 0.500
0.500 0.000 0.500
0.500 0.500 0.000
0.500 0.500 0.500
```

(12)
Density functional theory data (PBE) for a geometry-optimized Zr2AsPt structure.

Output
Calculated volume: 76.82 Å³/cell
Energy: -31.1 eV per formula unit
ΔH_f (0 K): -79.2 kJ per mole of atoms

```
Zr2AsPt
1.0
-2.050 2.491 3.760
2.050 -2.491 3.760
2.050 2.491 -3.760
Zr As Pt
2 1 1
direct
0.243 0.243 0.000
0.757 0.757 0.000
0.000 0.500 0.500
0.500 0.000 0.500
```

(13)
Density functional theory data (PBE) for a geometry-optimized Zr2AsPt structure.

Output
Calculated volume: 77.69 Å³/cell
Energy: -31.8 eV per formula unit
ΔH_f (0 K): -96.5 kJ per mole of atoms

```
Zr2AsPt
1.0
3.909 0.000 0.000
0.000 1.885 5.271
0.000 -1.885 5.271
Zr As Pt
2 1 1
direct
0.000 0.000 0.000
0.500 0.301 0.301
0.500 0.564 0.564
0.000 0.731 0.731
```

(14)
Density functional theory data (PBE) for a geometry-optimized Zr2AsPt structure.

Output
Calculated volume: 164.46 Å³/cell
Energy: -30.4 eV per formula unit
ΔH_f (0 K): -62.5 kJ per mole of atoms

```
Zr2AsPt
1.0
-3.660 3.660 3.069
3.660 -3.660 3.069
3.660 3.660 -3.069
Zr As Pt
4 2 2
direct
0.124 0.125 0.499
0.375 0.876 0.001
0.626 0.625 0.501
0.875 0.374 0.999
0.250 0.750 0.500
0.500 0.500 0.000
0.000 0.000 0.000
0.750 0.250 0.500
```

(15)
Density functional theory data (PBE) for a geometry-optimized Zr2AsPt structure.

Output
Calculated volume: 75.86 Å³/cell
Energy: -31.0 eV per formula unit
ΔH_f (0 K): -76.6 kJ per mole of atoms

```
Zr2AsPt
1.0
2.090 -2.408 0.000
2.090 2.408 0.000
0.000 0.000 7.537
Zr As Pt
2 1 1
direct
0.000 0.000 0.249
0.000 0.000 0.751
0.500 0.500 0.000
0.500 0.500 0.500
```

(16)
Density functional theory data (PBE) for a geometry-optimized Zr2AsPt structure.

Output
Calculated volume: 83.37 Å³/cell
Energy: -31.5 eV per formula unit
ΔH_f (0 K): -89.1 kJ per mole of atoms

```
Zr2AsPt
1.0
3.265 -1.894 0.000
3.265 1.894 0.000
-2.203 0.000 6.741
Zr As Pt
2 1 1
direct
0.250 0.250 0.250
0.750 0.750 0.750
0.000 0.000 0.500
0.500 0.500 0.000
```

(17)
Density functional theory data (PBE) for a geometry-optimized Zr2AsPt structure.

Output
Calculated volume: 76.49 Å³/cell
Energy: -28.5 eV per formula unit
ΔH_f (0 K): -17.6 kJ per mole of atoms

```
Zr2AsPt
1.0
0.000 3.369 3.369
3.369 0.000 3.369
3.369 3.369 0.000
Zr As Pt
2 1 1
direct
0.000 0.000 0.000
0.250 0.250 0.250
0.750 0.750 0.750
0.500 0.500 0.500
```

(18)
Density functional theory data (PBE) for a geometry-optimized ZrAs4Pt structure.

Output
Calculated volume: 112.84 Å³/cell
Energy: -32.2 eV per formula unit
ΔH_f (0 K): 16.6 kJ per mole of atoms

```
ZrAs4Pt
1.0
0.000 3.835 3.835
3.835 0.000 3.835
3.835 3.835 0.000
Zr As Pt
1 4 1
direct
0.000 0.000 0.000
0.128 0.624 0.624
0.624 0.128 0.624
0.624 0.624 0.128
0.624 0.624 0.624
0.250 0.250 0.250
```

(19)
Density functional theory data (PBE) for a geometry-optimized Zr2AsPt structure.

Output
Calculated volume: 77.04 Å³/cell
Energy: -31.2 eV per formula unit
ΔH_f (0 K): -81.3 kJ per mole of atoms

```
Zr2AsPt
1.0
3.540 0.000 0.000
0.000 4.243 0.000
0.000 0.000 5.128
Zr As Pt
2 1 1
direct
0.000 0.000 0.000
0.000 0.500 0.500
0.500 0.000 0.500
0.500 0.500 0.000
```

(20)
Density functional theory data (PBE) for a geometry-optimized Zr4AsPt structure.

Output
Calculated volume: 124.11 Å³/cell
Energy: -44.0 eV per formula unit
ΔH_f (0 K): 13.8 kJ per mole of atoms

```
Zr4AsPt
1.0
0.000 3.959 3.959
3.959 0.000 3.959
3.959 3.959 0.000
Zr As Pt
4 1 1
direct
0.125 0.125 0.125
0.125 0.125 0.625
0.125 0.625 0.125
0.625 0.125 0.125
0.750 0.750 0.750
0.500 0.500 0.500
```

(21)
Density functional theory data (PBE) for a geometry-optimized Zr2AsPt structure.

Output
Calculated volume: 76.38 Å³/cell
Energy: -31.2 eV per formula unit
ΔH_f (0 K): -82.0 kJ per mole of atoms

```
Zr2AsPt
1.0
3.027 0.000 0.000
0.000 3.530 0.000
-1.014 0.000 7.148
Zr As Pt
2 1 1
direct
0.076 0.000 0.253
0.924 0.000 0.747
0.500 0.500 0.500
0.500 0.500 0.000
```

(22)
Density functional theory data (PBE) for a geometry-optimized PuAs3 structure.

Output
Calculated volume: 166.86 Å³/cell
Energy: -30.1 eV per formula unit
ΔH_f (0 K): -44.4 kJ per mole of atoms

```
PuAs3
1.0
2.032 -9.960 0.000
2.032 9.960 0.000
0.000 0.000 4.123
Pu As
2 6
direct
0.082 0.918 0.750
0.918 0.082 0.250
0.188 0.812 0.250
0.312 0.688 0.250
0.453 0.547 0.750
0.547 0.453 0.250
0.688 0.312 0.750
0.812 0.188 0.750
```

(23)
Density functional theory data (PBE) for a geometry-optimized PuAs4 structure.

Output
Calculated volume: 144.80 Å³/cell
Energy: -29.3 eV per formula unit
ΔH_f (0 K): 71.0 kJ per mole of atoms

```
PuAs4
1.0
5.251 0.000 0.000
0.000 5.251 0.000
0.000 0.000 5.251
Pu As
1 4
direct
0.000 0.000 0.000
0.000 0.000 0.500
0.000 0.500 0.000
0.500 0.000 0.000
0.500 0.500 0.500
```

(24)
Density functional theory data (PBE) for a geometry-optimized PuAs3 structure.

Output
Calculated volume: 79.42 Å³/cell
Energy: -30.2 eV per formula unit
ΔH_f (0 K): -45.6 kJ per mole of atoms

```
PuAs3
1.0
4.298 0.000 0.000
0.000 4.298 0.000
0.000 0.000 4.298
Pu As
1 3
direct
0.000 0.000 0.000
0.000 0.500 0.500
0.500 0.000 0.500
0.500 0.500 0.000
```

(25)
Density functional theory data (PBE) for a geometry-optimized Pu3As4 structure.

Output
Calculated volume: 313.48 Å³/cell
Energy: -67.5 eV per formula unit
ΔH_f (0 K): -81.1 kJ per mole of atoms

```
Pu3As4
1.0
-4.279 4.279 4.279
4.279 -4.279 4.279
4.279 4.279 -4.279
Pu As
6 8
direct
0.125 0.875 0.250
0.250 0.125 0.875
0.375 0.625 0.750
0.625 0.750 0.375
0.750 0.375 0.625
0.875 0.250 0.125
0.000 0.160 0.500
0.000 0.660 0.500
0.160 0.500 0.000
0.340 0.340 0.340
0.500 0.000 0.160
0.500 0.000 0.660
0.660 0.500 0.000
0.840 0.840 0.840
```

(26)
Density functional theory data (PBE) for a geometry-optimized PuAs structure.

Output
Calculated volume: 43.91 Å³/cell
Energy: -20.6 eV per formula unit
ΔH_f (0 K): -79.6 kJ per mole of atoms

```
PuAs
1.0
3.528 0.000 0.000
0.000 3.528 0.000
0.000 0.000 3.528
Pu As
1 1
direct
0.000 0.000 0.000
0.500 0.500 0.500
```

(27)
Density functional theory data (PBE) for a geometry-optimized PuAs3 structure.

Output
Calculated volume: 80.30 Å³/cell
Energy: -30.1 eV per formula unit
ΔH_f (0 K): -44.9 kJ per mole of atoms

```
PuAs3
1.0
-2.024 2.024 4.900
2.024 -2.024 4.900
2.024 2.024 -4.900
Pu As
1 3
direct
0.000 0.000 0.000
0.250 0.750 0.500
0.500 0.500 0.000
0.750 0.250 0.500
```

(28)
Density functional theory data (PBE) for a geometry-optimized PuAs structure.

Output
Calculated volume: 50.13 Å³/cell
Energy: -21.0 eV per formula unit
ΔH_f (0 K): -98.2 kJ per mole of atoms

```
PuAs
1.0
0.000 2.927 2.927
2.927 0.000 2.927
2.927 2.927 0.000
Pu As
1 1
direct
0.000 0.000 0.000
0.500 0.500 0.500
```

(29)
Density functional theory data (PBE) for a geometry-optimized Pu2As structure.

Output
Calculated volume: 146.57 Å³/cell
Energy: -35.3 eV per formula unit
ΔH_f (0 K): -62.9 kJ per mole of atoms

```
Pu2As
1.0
8.547 -2.102 0.000
8.547 2.102 0.000
-1.022 0.000 4.080
Pu As
4 2
direct
0.000 0.000 0.000
0.183 0.183 0.681
0.500 0.500 0.500
0.817 0.817 0.319
0.364 0.364 0.866
0.636 0.636 0.134
```